{"formula": "BaTl2AgPb", "functional": "GGA-PBE", "state": "relaxed", "rho_g_cm3": 8.944, "spacegroup": "Imm2, No. 44", "ef_ev_per_atom": -0.26, "cell": [[5.0924, 0.0000, 0.0000], [0.0000, 5.1116, 0.0000], [-2.5462, -2.5558, 6.1425]], "species": ["Ba", "Tl", "Tl", "Ag", "Pb"], "frac_coords": [[0.4426, 0.4426, 0.8852], [0.7036, 0.2036, 0.4073], [0.0475, 0.0475, 0.0950], [0.8200, 0.8200, 0.6400], [0.1984, 0.6984, 0.3969]]}